1.
The following is a PBE-GGA calculation of a relaxed structure of NaIn4Pb3, from the Alexandria database.

Cell lengths 22.1843, 3.2625, 6.7708 Å; angles 90.00, 107.35, 90.00 degrees
Space group C2/m (No. 12)
Unique sites:
Na1 0.0000 0.0000 0.0000 (multiplicity 2)
In1 0.1266 0.5000 0.8806 (multiplicity 4)
In2 0.2372 0.0000 0.7552 (multiplicity 4)
Pb1 0.0000 0.5000 0.5000 (multiplicity 2)
Pb2 0.1315 0.5000 0.3611 (multiplicity 4)

Computed properties:
magnetization	0.00	μB per formula unit
ΔH_f (0 K)	0.00	eV/atom

---

2.
The following is a PBE-GGA calculation of a relaxed structure of Na5In6Pb, from the Alexandria database.

Cell lengths 4.6229, 14.3217, 9.8342 Å; angles 90.00, 90.00, 90.00 degrees
Space group Cmmm (No. 65)
Unique sites:
Na1 0.0000 0.0000 0.0000 (multiplicity 2)
Na2 0.0000 0.3345 0.0000 (multiplicity 4)
Na3 0.0000 0.3346 0.5000 (multiplicity 4)
In1 0.0000 0.1665 0.2513 (multiplicity 8)
In2 0.0000 0.5000 0.2508 (multiplicity 4)
Pb1 0.0000 0.0000 0.5000 (multiplicity 2)

Computed properties:
magnetization	0.00	μB per formula unit
ΔH_f (0 K)	-0.10	eV/atom

---

3.
The following is a PBE-GGA calculation of a relaxed structure of Na2In3Pb2, from the Alexandria database.

Cell lengths 10.6280, 4.7653, 7.8200 Å; angles 90.00, 98.91, 90.00 degrees
Space group C2/m (No. 12)
Unique sites:
Na1 0.0690 0.0000 0.2228 (multiplicity 4)
In1 0.0000 0.5000 0.5000 (multiplicity 2)
In2 0.2150 0.0000 0.6338 (multiplicity 4)
Pb1 0.1474 0.5000 0.9294 (multiplicity 4)

Computed properties:
energy above the lowest structure with this stoichiometry	0	meV per atom
magnetization	0.00	μB per formula unit
ΔH_f (0 K)	-0.10	eV/atom

---

4.
The following is a PBE-GGA calculation of a relaxed structure of NaInPb, from the Alexandria database.

Cell lengths 5.8383, 10.1767, 6.0334 Å; angles 90.00, 109.08, 90.00 degrees
Space group C2 (No. 5)
Unique sites:
Na1 0.0000 0.0000 0.0000 (multiplicity 2)
Na2 0.0000 0.1725 0.5000 (multiplicity 2)
In1 0.0000 0.6723 0.0000 (multiplicity 2)
In2 0.0000 0.8330 0.5000 (multiplicity 2)
Pb1 0.0000 0.3388 0.0000 (multiplicity 2)
Pb2 0.0000 0.5049 0.5000 (multiplicity 2)

Computed properties:
magnetization	0.00	μB per formula unit
ΔH_f (0 K)	-0.10	eV/atom